Record 1
A geometry-optimized CsBaAs structure. Source: Alexandria via LeMat-Bulk, functional GGA-PBE.

As for the crystal system: monoclinic. As for the density of states at the Fermi level: 2.3 states/eV/f.u. As for the space group: No. 8.

Unit cell a=10.490 b=8.000 c=8.000 alpha=144.90 beta=122.57 gamma=57.43
Fractional coordinates of all 6 atoms:
Cs 0.110 0.279 0.721
Cs 0.122 0.531 0.469
As 0.356 0.808 0.192
Ba 0.543 0.929 0.071
As 0.436 0.606 0.394
Ba 0.592 0.168 0.832

=====

Record 2
A geometry-optimized CsBaAs structure. Source: Alexandria via LeMat-Bulk, functional GGA-PBE.

As for the crystal system: trigonal. As for the density of states at the Fermi level: 3.9 states/eV/f.u. As for the space group: No. 156.

Unit cell a=6.852 b=5.235 c=5.235 alpha=120.00 beta=90.00 gamma=90.00
Fractional coordinates of all 3 atoms:
Cs 0.592 0.333 0.667
Ba 0.128 0.000 0.000
As 0.280 0.667 0.333

=====

Record 3
A geometry-optimized CsBaAs structure. Source: Alexandria via LeMat-Bulk, functional GGA-PBE.

As for the crystal system: orthorhombic. As for the density of states at the Fermi level: 0.0 states/eV/f.u. As for the space group: No. 62.

Unit cell a=8.671 b=5.336 c=11.226 alpha=90.00 beta=90.00 gamma=90.00
Fractional coordinates of all 12 atoms:
Cs 0.372 0.250 0.077
Cs 0.872 0.250 0.423
As 0.196 0.750 0.893
Cs 0.628 0.750 0.923
As 0.804 0.250 0.107
As 0.696 0.750 0.607
Ba 0.978 0.250 0.847
Cs 0.128 0.750 0.577
Ba 0.522 0.750 0.347
Ba 0.022 0.750 0.153
As 0.304 0.250 0.393
Ba 0.478 0.250 0.653

=====

Record 4
A geometry-optimized Cs2BaAs2 structure. Source: Alexandria via LeMat-Bulk, functional GGA-PBE.

For the distance to the lowest polymorph of the same formula, the calculation gives 0.00 eV/f.u. As for the crystal system: tetragonal. As for the density of states at the Fermi level: 3.4 states/eV/f.u. As for the space group: No. 127.

Unit cell a=8.296 b=8.296 c=6.025 alpha=90.00 beta=90.00 gamma=90.00
Fractional coordinates of all 10 atoms:
Cs 0.335 0.835 0.500
Cs 0.835 0.665 0.500
As 0.606 0.894 0.000
Cs 0.665 0.165 0.500
As 0.894 0.394 0.000
As 0.106 0.606 0.000
Ba 0.000 0.000 0.000
Ba 0.500 0.500 0.000
Cs 0.165 0.335 0.500
As 0.394 0.106 0.000

=====

Record 5
A geometry-optimized CsBaAs structure. Source: Alexandria via LeMat-Bulk, functional GGA-PBE.

As for the crystal system: orthorhombic. As for the density of states at the Fermi level: 0.0 states/eV/f.u. As for the space group: No. 63.

Unit cell a=9.412 b=8.368 c=6.329 alpha=90.00 beta=90.00 gamma=90.00
Fractional coordinates of all 12 atoms:
Cs 0.850 0.750 0.500
Cs 0.650 0.250 0.000
As 0.794 0.250 0.500
Cs 0.350 0.750 0.000
As 0.706 0.750 0.000
Cs 0.150 0.250 0.500
Ba 0.000 0.000 0.000
Ba 0.500 0.000 0.500
As 0.294 0.250 0.000
Ba 0.500 0.500 0.500
As 0.206 0.750 0.500
Ba 0.000 0.500 0.000

=====

Record 6
A geometry-optimized CsBaAs2 structure. Source: Alexandria via LeMat-Bulk, functional GGA-PBE.

As for the crystal system: cubic. As for the density of states at the Fermi level: 4.5 states/eV/f.u. As for the space group: No. 225.

Unit cell a=5.844 b=5.844 c=5.844 alpha=60.00 beta=60.00 gamma=60.00
Fractional coordinates of all 4 atoms:
As 0.250 0.250 0.250
As 0.750 0.750 0.750
Cs 0.000 0.000 0.000
Ba 0.500 0.500 0.500

=====

Number 1: formation energy from the elements -514 meV/atom. Number 2: formation energy from the elements -590 meV/atom. Number 3: formation energy from the elements -646 meV/atom. Number 4: formation energy from the elements -462 meV/atom. Number 5: formation energy from the elements -426 meV/atom. Number 6: formation energy from the elements -226 meV/atom.